(1)
Below is crystalline AcPr4DyHo2 at its relaxed geometry, with properties calculated at the PBE-GGA level.

theoretical density = 7.5 g/cm3
M_tot = 0.0 Bohr magnetons per cell
ΔE_f = 3.22 kJ per mole of atoms

Unit cell a=5.213 b=6.364 c=9.751 alpha=89.60 beta=74.50 gamma=65.82
Fractional positions:
Ac (0.500, 0.500, 0.500)
Pr (0.122, 0.125, 0.631)
Pr (0.373, 0.376, 0.878)
Pr (0.878, 0.875, 0.369)
Pr (0.627, 0.624, 0.122)
Dy (0.000, 0.000, 0.000)
Ho (0.742, 0.758, 0.757)
Ho (0.258, 0.242, 0.243)

=====

(2)
Below is crystalline AcPrDy2Ho at its relaxed geometry, with properties calculated at the PBE-GGA level.

theoretical density = 7.7 g/cm3
M_tot = 0.0 Bohr magnetons per cell
ΔE_f = 36.94 kJ per mole of atoms

Unit cell a=6.524 b=6.474 c=9.370 alpha=110.21 beta=90.00 gamma=90.00
Fractional positions:
Ac (0.250, 0.658, 0.317)
Ac (0.750, 0.342, 0.683)
Pr (0.250, 0.847, 0.694)
Pr (0.750, 0.153, 0.306)
Dy (0.500, 0.251, 0.000)
Dy (0.000, 0.749, 0.000)
Dy (0.500, 0.749, 0.000)
Dy (0.000, 0.251, 0.000)
Ho (0.750, 0.735, 0.469)
Ho (0.250, 0.265, 0.531)

=====

(3)
Below is crystalline AcPr2DyHo4 at its relaxed geometry, with properties calculated at the PBE-GGA level.

theoretical density = 7.9 g/cm3
M_tot = 0.4 Bohr magnetons per cell
ΔE_f = 40.82 kJ per mole of atoms

Unit cell a=9.653 b=9.653 c=11.993 alpha=128.40 beta=128.40 gamma=88.36
Fractional positions:
Ac (0.000, 0.500, 0.000)
Ac (0.000, 0.500, 0.500)
Pr (0.500, 0.000, 0.000)
Pr (0.500, 0.000, 0.500)
Pr (0.000, 0.000, 0.500)
Pr (0.500, 0.500, 0.000)
Dy (0.500, 0.500, 0.500)
Dy (0.000, 0.000, 0.000)
Ho (0.257, 0.768, 0.012)
Ho (0.732, 0.243, 0.488)
Ho (0.268, 0.757, 0.512)
Ho (0.743, 0.232, 0.988)
Ho (0.741, 0.757, 0.993)
Ho (0.743, 0.759, 0.507)
Ho (0.257, 0.241, 0.493)
Ho (0.259, 0.243, 0.007)

=====

(4)
Below is crystalline AcDy2HoS4 at its relaxed geometry, with properties calculated at the PBE-GGA level.

theoretical density = 7.7 g/cm3
formation energy from raw total energies = -1946 meV/atom
M_tot = 0.0 Bohr magnetons per cell

Unit cell a=3.950 b=6.936 c=7.022 alpha=71.22 beta=90.00 gamma=90.00
Fractional positions:
Ac (0.500, 0.500, 0.000)
Dy (0.000, 0.000, 0.000)
Dy (0.500, 0.000, 0.500)
Ho (0.000, 0.500, 0.500)
S (0.000, 0.769, 0.729)
S (0.000, 0.231, 0.271)
S (0.500, 0.758, 0.262)
S (0.500, 0.242, 0.738)

=====

(5)
Below is crystalline Ac2DyHoS6 at its relaxed geometry, with properties calculated at the PBE-GGA level.

theoretical density = 5.8 g/cm3
formation energy from raw total energies = -2113 meV/atom
M_tot = 0.0 Bohr magnetons per cell

Unit cell a=7.257 b=7.257 c=7.448 alpha=60.84 beta=60.84 gamma=60.00
Fractional positions:
Ac (0.531, 0.531, 0.408)
Ac (0.031, 0.031, 0.908)
Dy (0.816, 0.816, 0.553)
Ho (0.316, 0.316, 0.053)
S (0.598, 0.178, 0.265)
S (0.178, 0.959, 0.265)
S (0.959, 0.598, 0.265)
S (0.458, 0.677, 0.766)
S (0.677, 0.099, 0.766)
S (0.099, 0.458, 0.766)

=====

(6)
Below is crystalline AcDyHo4S8 at its relaxed geometry, with properties calculated at the PBE-GGA level.

theoretical density = 5.7 g/cm3
formation energy from raw total energies = -1924 meV/atom
M_tot = 0.0 Bohr magnetons per cell

Unit cell a=8.135 b=8.135 c=8.146 alpha=60.04 beta=60.04 gamma=60.00
Fractional positions:
Ac (0.375, 0.375, 0.876)
Dy (0.998, 0.998, 0.007)
Ho (0.625, 0.625, 0.124)
Ho (0.998, 0.507, 0.498)
Ho (0.507, 0.998, 0.498)
Ho (0.998, 0.998, 0.498)
S (0.235, 0.797, 0.733)
S (0.797, 0.235, 0.733)
S (0.235, 0.235, 0.733)
S (0.234, 0.234, 0.298)
S (0.755, 0.232, 0.258)
S (0.232, 0.755, 0.258)
S (0.755, 0.755, 0.258)
S (0.756, 0.756, 0.731)

=====

(7)
Below is crystalline AcDy2HoS6 at its relaxed geometry, with properties calculated at the PBE-GGA level.

theoretical density = 5.6 g/cm3
formation energy from raw total energies = -2075 meV/atom
M_tot = 0.0 Bohr magnetons per cell

Unit cell a=7.070 b=7.070 c=7.428 alpha=61.57 beta=61.58 gamma=60.00
Fractional positions:
Ac (0.802, 0.802, 0.594)
Dy (0.520, 0.520, 0.440)
Dy (0.012, 0.012, 0.963)
Ho (0.317, 0.317, 0.050)
S (0.614, 0.228, 0.243)
S (0.228, 0.915, 0.243)
S (0.915, 0.614, 0.243)
S (0.373, 0.725, 0.746)
S (0.725, 0.156, 0.746)
S (0.156, 0.373, 0.746)

=====

(8)
Below is crystalline Ac2DyHoSb4 at its relaxed geometry, with properties calculated at the PBE-GGA level.

theoretical density = 7.7 g/cm3
formation energy from raw total energies = -1148 meV/atom
M_tot = 0.0 Bohr magnetons per cell

Unit cell a=4.593 b=7.951 c=7.939 alpha=109.50 beta=90.00 gamma=90.00
Fractional positions:
Ac (0.500, 0.000, 0.500)
Ac (0.000, 0.500, 0.500)
Dy (0.000, 0.000, 0.000)
Ho (0.500, 0.500, 0.000)
Sb (0.500, 0.243, 0.226)
Sb (0.500, 0.757, 0.774)
Sb (0.000, 0.258, 0.774)
Sb (0.000, 0.742, 0.226)

=====

(9)
Below is crystalline AcDyHoSc at its relaxed geometry, with properties calculated at the PBE-GGA level.

theoretical density = 7.6 g/cm3
M_tot = 0.0 Bohr magnetons per cell
ΔE_f = 12.14 kJ per mole of atoms

Unit cell a=5.698 b=5.698 c=5.698 alpha=60.00 beta=60.00 gamma=60.00
Fractional positions:
Sc (0.000, 0.000, 0.000)
Ac (0.750, 0.750, 0.750)
Ho (0.500, 0.500, 0.500)
Dy (0.250, 0.250, 0.250)

=====

(10)
Below is crystalline Ac2DyHoSe5 at its relaxed geometry, with properties calculated at the PBE-GGA level.

theoretical density = 6.8 g/cm3
formation energy from raw total energies = -1477 meV/atom
M_tot = 0.0 Bohr magnetons per cell

Unit cell a=5.141 b=5.141 c=10.890 alpha=90.00 beta=90.00 gamma=90.00
Fractional positions:
Ac (0.500, 0.500, 0.290)
Ac (0.500, 0.500, 0.710)
Dy (0.000, 0.000, 0.000)
Ho (0.000, 0.000, 0.500)
Se (0.000, 0.500, 0.500)
Se (0.500, 0.000, 0.500)
Se (0.000, 0.000, 0.756)
Se (0.000, 0.000, 0.244)
Se (0.500, 0.500, 0.000)

=====

(11)
Below is crystalline AcDyHo2Se4 at its relaxed geometry, with properties calculated at the PBE-GGA level.

theoretical density = 8.4 g/cm3
formation energy from raw total energies = -1731 meV/atom
M_tot = 0.0 Bohr magnetons per cell

Unit cell a=4.085 b=7.388 c=7.166 alpha=71.56 beta=90.00 gamma=90.00
Fractional positions:
Ac (0.500, 0.500, 0.000)
Dy (0.000, 0.500, 0.500)
Ho (0.000, 0.000, 0.000)
Ho (0.500, 0.000, 0.500)
Se (0.000, 0.772, 0.731)
Se (0.000, 0.228, 0.269)
Se (0.500, 0.762, 0.258)
Se (0.500, 0.238, 0.742)

=====

(12)
Below is crystalline Ac4Dy3HoSe8 at its relaxed geometry, with properties calculated at the PBE-GGA level.

theoretical density = 8.3 g/cm3
formation energy from raw total energies = -1797 meV/atom
M_tot = 0.0 Bohr magnetons per cell

Unit cell a=8.305 b=8.788 c=8.305 alpha=118.19 beta=120.00 gamma=90.00
Fractional positions:
Ac (0.500, 0.000, 0.000)
Ac (0.500, 0.000, 0.500)
Ac (0.000, 0.000, 0.000)
Ac (0.000, 0.000, 0.500)
Dy (0.500, 0.500, 0.000)
Dy (0.500, 0.500, 0.500)
Dy (0.000, 0.500, 0.500)
Ho (0.000, 0.500, 0.000)
Se (0.239, 0.718, 0.979)
Se (0.239, 0.718, 0.477)
Se (0.260, 0.282, 0.521)
Se (0.740, 0.718, 0.979)
Se (0.260, 0.282, 0.021)
Se (0.740, 0.718, 0.479)
Se (0.761, 0.282, 0.523)
Se (0.761, 0.282, 0.021)

=====

(13)
Below is crystalline Ac2DyHoSe6 at its relaxed geometry, with properties calculated at the PBE-GGA level.

theoretical density = 7.0 g/cm3
formation energy from raw total energies = -1975 meV/atom
M_tot = 0.0 Bohr magnetons per cell

Unit cell a=7.170 b=7.894 c=10.567 alpha=90.00 beta=90.06 gamma=90.00
Fractional positions:
Ac (0.036, 0.904, 0.250)
Ac (0.536, 0.596, 0.750)
Ac (0.964, 0.096, 0.750)
Ac (0.464, 0.404, 0.250)
Dy (0.500, 0.000, 0.000)
Dy (0.000, 0.500, 0.500)
Ho (0.500, 0.000, 0.500)
Ho (0.000, 0.500, 0.000)
Se (0.322, 0.687, 0.064)
Se (0.822, 0.813, 0.564)
Se (0.678, 0.313, 0.936)
Se (0.178, 0.187, 0.436)
Se (0.323, 0.688, 0.436)
Se (0.823, 0.812, 0.936)
Se (0.677, 0.312, 0.564)
Se (0.177, 0.188, 0.064)
Se (0.869, 0.540, 0.249)
Se (0.369, 0.960, 0.749)
Se (0.131, 0.460, 0.751)
Se (0.631, 0.040, 0.251)

=====

(14)
Below is crystalline Ac4DyHo3Se8 at its relaxed geometry, with properties calculated at the PBE-GGA level.

theoretical density = 8.3 g/cm3
formation energy from raw total energies = -1791 meV/atom
M_tot = 0.0 Bohr magnetons per cell

Unit cell a=8.275 b=8.805 c=8.274 alpha=118.02 beta=120.00 gamma=90.00
Fractional positions:
Ac (0.500, 0.000, 0.000)
Ac (0.500, 0.000, 0.500)
Ac (0.000, 0.000, 0.000)
Ac (0.000, 0.000, 0.500)
Dy (0.000, 0.500, 0.000)
Ho (0.500, 0.500, 0.000)
Ho (0.500, 0.500, 0.500)
Ho (0.000, 0.500, 0.500)
Se (0.240, 0.717, 0.977)
Se (0.239, 0.717, 0.479)
Se (0.261, 0.284, 0.522)
Se (0.738, 0.717, 0.977)
Se (0.262, 0.283, 0.023)
Se (0.739, 0.716, 0.478)
Se (0.761, 0.283, 0.521)
Se (0.760, 0.283, 0.023)

=====

(15)
Below is crystalline AcDyHo2Se6 at its relaxed geometry, with properties calculated at the PBE-GGA level.

theoretical density = 6.5 g/cm3
formation energy from raw total energies = -1877 meV/atom
M_tot = 0.0 Bohr magnetons per cell

Unit cell a=7.367 b=7.368 c=7.763 alpha=61.67 beta=61.67 gamma=60.00
Fractional positions:
Ac (0.804, 0.804, 0.587)
Dy (0.318, 0.318, 0.047)
Ho (0.517, 0.517, 0.448)
Ho (0.010, 0.010, 0.970)
Se (0.613, 0.232, 0.243)
Se (0.232, 0.912, 0.243)
Se (0.912, 0.613, 0.243)
Se (0.372, 0.730, 0.745)
Se (0.730, 0.153, 0.745)
Se (0.153, 0.372, 0.745)

=====

(16)
Below is crystalline Ac3DyHo3Se8 at its relaxed geometry, with properties calculated at the PBE-GGA level.

theoretical density = 7.6 g/cm3
formation energy from raw total energies = -1848 meV/atom
M_tot = 0.0 Bohr magnetons per cell

Unit cell a=8.334 b=8.335 c=8.616 alpha=118.92 beta=90.00 gamma=120.00
Fractional positions:
Ac (0.000, 0.000, 0.000)
Ac (0.000, 0.500, 0.000)
Ac (0.500, 0.500, 0.000)
Dy (0.000, 0.000, 0.500)
Ho (0.500, 0.000, 0.500)
Ho (0.500, 0.500, 0.500)
Ho (0.000, 0.500, 0.500)
Se (0.260, 0.520, 0.280)
Se (0.740, 0.480, 0.720)
Se (0.755, 0.510, 0.275)
Se (0.245, 0.490, 0.725)
Se (0.755, 0.020, 0.275)
Se (0.245, 0.980, 0.725)
Se (0.265, 0.020, 0.275)
Se (0.735, 0.980, 0.725)

=====

(17)
Below is crystalline AcSmDyHo3 at its relaxed geometry, with properties calculated at the PBE-GGA level.

theoretical density = 8.2 g/cm3
M_tot = 0.0 Bohr magnetons per cell
ΔE_f = 23.01 kJ per mole of atoms

Unit cell a=5.648 b=9.995 c=7.761 alpha=91.74 beta=90.00 gamma=106.41
Fractional positions:
Ac (0.362, 0.723, 0.974)
Ac (0.638, 0.277, 0.026)
Sm (0.048, 0.096, 0.293)
Sm (0.952, 0.904, 0.707)
Dy (0.654, 0.309, 0.445)
Dy (0.346, 0.691, 0.555)
Ho (0.836, 0.671, 0.290)
Ho (0.779, 0.558, 0.753)
Ho (0.474, 0.948, 0.304)
Ho (0.221, 0.442, 0.247)
Ho (0.526, 0.052, 0.696)
Ho (0.164, 0.329, 0.710)

=====

(18)
Below is crystalline AcSmDy2Ho at its relaxed geometry, with properties calculated at the PBE-GGA level.

theoretical density = 7.9 g/cm3
M_tot = 0.0 Bohr magnetons per cell
ΔE_f = 37.62 kJ per mole of atoms

Unit cell a=6.463 b=6.467 c=9.346 alpha=110.24 beta=90.00 gamma=90.00
Fractional positions:
Ac (0.250, 0.659, 0.319)
Ac (0.750, 0.341, 0.681)
Sm (0.250, 0.848, 0.695)
Sm (0.750, 0.152, 0.305)
Dy (0.500, 0.248, 0.000)
Dy (0.000, 0.752, 0.000)
Dy (0.500, 0.752, 0.000)
Dy (0.000, 0.248, 0.000)
Ho (0.750, 0.750, 0.499)
Ho (0.250, 0.250, 0.501)

=====

(19)
Below is crystalline AcSm6Dy3Ho2 at its relaxed geometry, with properties calculated at the PBE-GGA level.

theoretical density = 8.0 g/cm3
M_tot = 0.0 Bohr magnetons per cell
ΔE_f = 2.76 kJ per mole of atoms

Unit cell a=6.268 b=6.268 c=12.001 alpha=94.99 beta=94.99 gamma=119.97
Fractional positions:
Ac (0.000, 0.000, 0.000)
Sm (0.915, 0.578, 0.746)
Sm (0.749, 0.749, 0.255)
Sm (0.085, 0.422, 0.254)
Sm (0.578, 0.915, 0.746)
Sm (0.251, 0.251, 0.745)
Sm (0.422, 0.085, 0.254)
Dy (0.167, 0.833, 0.500)
Dy (0.833, 0.167, 0.500)
Dy (0.500, 0.500, 0.500)
Ho (0.333, 0.667, 0.000)
Ho (0.667, 0.333, 0.000)

=====

(20)
Below is crystalline AcSm6DyHo2 at its relaxed geometry, with properties calculated at the PBE-GGA level.

theoretical density = 7.8 g/cm3
M_tot = 0.0 Bohr magnetons per cell
ΔE_f = 11.96 kJ per mole of atoms

Unit cell a=9.661 b=9.003 c=9.003 alpha=117.54 beta=92.85 gamma=92.85
Fractional positions:
Ac (0.250, 0.972, 0.028)
Ac (0.750, 0.028, 0.972)
Sm (0.055, 0.125, 0.753)
Sm (0.445, 0.247, 0.875)
Sm (0.945, 0.875, 0.247)
Sm (0.555, 0.753, 0.125)
Sm (0.317, 0.989, 0.445)
Sm (0.183, 0.555, 0.011)
Sm (0.683, 0.011, 0.555)
Sm (0.817, 0.445, 0.989)
Sm (0.118, 0.711, 0.490)
Sm (0.382, 0.510, 0.289)
Sm (0.882, 0.289, 0.510)
Sm (0.618, 0.490, 0.711)
Dy (0.250, 0.412, 0.588)
Dy (0.750, 0.588, 0.412)
Ho (0.452, 0.796, 0.685)
Ho (0.048, 0.315, 0.204)
Ho (0.548, 0.204, 0.315)
Ho (0.952, 0.685, 0.796)